VASP calculation (meta-GGA SCAN) on LiSb2Se at its PBEsol-relaxed geometry.

Formation energy (no corrections), meV/atom: -104

```
LiSb2Se
1.0
3.451 0.000 0.000
0.000 4.903 0.000
0.000 0.000 5.344
Li Sb Se
1 2 1
Direct
0.000 0.000 0.000
0.000 0.500 0.500
0.500 0.500 0.000
0.500 0.000 0.500
```

---

VASP calculation (meta-GGA SCAN) on Ti3N2 at its PBEsol-relaxed geometry.

Formation energy (no corrections), meV/atom: -1649

```
Ti3N2
1.0
2.572 1.485 4.774
-2.572 1.485 4.774
0.000 -2.970 4.774
Ti N
6 4
Direct
0.073 0.750 0.427
0.250 0.573 0.927
0.427 0.073 0.750
0.573 0.927 0.250
0.750 0.427 0.073
0.927 0.250 0.573
0.159 0.159 0.159
0.341 0.341 0.341
0.659 0.659 0.659
0.841 0.841 0.841
```

---

VASP calculation (meta-GGA SCAN) on Cu2As at its PBEsol-relaxed geometry.

Energy of formation from the pure elements, eV/atom: 0.071

```
Cu2As
1.0
4.953 -1.372 0.000
4.953 1.372 0.000
-2.451 0.000 5.912
Cu As
4 2
Direct
0.052 0.052 0.293
0.367 0.367 0.978
0.633 0.633 0.022
0.948 0.948 0.707
0.327 0.327 0.334
0.673 0.673 0.666
```

---

VASP calculation (meta-GGA SCAN) on Ni2GeP at its PBEsol-relaxed geometry.

Energy of formation from the pure elements, eV/atom: -0.398

```
Ni2GeP
1.0
6.901 0.000 0.000
0.000 6.070 0.000
0.000 0.000 4.871
Ni Ge P
8 4 4
Direct
0.103 0.250 0.000
0.103 0.250 0.500
0.349 0.750 0.000
0.349 0.750 0.500
0.651 0.250 0.000
0.651 0.250 0.500
0.897 0.750 0.000
0.897 0.750 0.500
0.380 0.091 0.250
0.380 0.409 0.750
0.620 0.591 0.250
0.620 0.909 0.750
0.126 0.569 0.250
0.126 0.931 0.750
0.874 0.069 0.250
0.874 0.431 0.750
```

---

VASP calculation (meta-GGA SCAN) on Sc3AgO at its PBEsol-relaxed geometry.

Formation energy (no corrections), meV/atom: -1514
Polymorph energy (0 for the lowest one), meV/atom: 0

```
Sc3AgO
1.0
4.352 0.000 0.000
0.000 4.352 0.000
0.000 0.000 4.352
Sc Ag O
3 1 1
Direct
0.000 0.000 0.500
0.000 0.500 0.000
0.500 0.000 0.000
0.500 0.500 0.500
0.000 0.000 0.000
```

---

VASP calculation (meta-GGA SCAN) on Na3CoSiBO7 at its PBEsol-relaxed geometry.

Formation energy (no corrections), meV/atom: -2176

```
Na3CoSiBO7
1.0
5.175 0.000 0.000
0.000 6.249 0.000
-0.431 0.000 8.872
Na Co Si B O
6 2 2 2 14
Direct
0.231 0.250 0.081
0.251 0.511 0.734
0.251 0.989 0.734
0.749 0.011 0.266
0.749 0.489 0.266
0.769 0.750 0.919
0.217 0.750 0.331
0.783 0.250 0.669
0.278 0.250 0.432
0.722 0.750 0.568
0.277 0.750 0.071
0.723 0.250 0.929
0.038 0.750 0.138
0.097 0.250 0.574
0.218 0.048 0.315
0.218 0.452 0.315
0.311 0.750 0.923
0.412 0.750 0.516
0.471 0.750 0.185
0.529 0.250 0.815
0.588 0.250 0.484
0.689 0.250 0.077
0.782 0.548 0.685
0.782 0.952 0.685
0.903 0.750 0.426
0.962 0.250 0.862
```

---

VASP calculation (meta-GGA SCAN) on TiRh2CS at its PBEsol-relaxed geometry.

Formation energy (no corrections), meV/atom: 194

```
TiRh2CS
1.0
3.800 0.000 0.000
0.000 3.800 0.000
0.000 0.000 4.931
Ti Rh C S
1 2 1 1
Direct
0.000 0.000 0.000
0.000 0.500 0.500
0.500 0.000 0.500
0.500 0.500 0.500
0.500 0.500 0.000
```

---

VASP calculation (meta-GGA SCAN) on CrIr2Rh at its PBEsol-relaxed geometry.

Energy of formation from the pure elements, eV/atom: -0.187

```
CrIr2Rh
1.0
2.656 0.000 0.000
0.000 3.724 0.000
0.000 0.000 5.348
Cr Ir Rh
1 2 1
Direct
0.000 0.000 0.000
0.500 0.500 0.242
0.500 0.500 0.758
0.000 0.000 0.500
```

---

VASP calculation (meta-GGA SCAN) on La5Cu19P12 at its PBEsol-relaxed geometry.

Energy of formation from the pure elements, eV/atom: -0.593

```
La5Cu19P12
1.0
12.546 0.000 0.000
-6.273 10.865 0.000
0.000 0.000 3.923
La Cu P
5 19 12
Direct
0.000 0.808 0.000
0.192 0.192 0.000
0.333 0.667 0.500
0.667 0.333 0.500
0.808 0.000 0.000
0.000 0.000 0.500
0.000 0.287 0.000
0.000 0.448 0.500
0.117 0.635 0.000
0.174 0.379 0.500
0.206 0.826 0.500
0.287 0.000 0.000
0.365 0.482 0.000
0.379 0.174 0.500
0.448 0.000 0.500
0.482 0.365 0.000
0.518 0.883 0.000
0.552 0.552 0.500
0.621 0.794 0.500
0.635 0.117 0.000
0.713 0.713 0.000
0.794 0.621 0.500
0.826 0.206 0.500
0.883 0.518 0.000
0.000 0.177 0.500
0.000 0.630 0.500
0.171 0.479 0.000
0.177 0.000 0.500
0.308 0.829 0.000
0.370 0.370 0.500
0.479 0.171 0.000
0.521 0.692 0.000
0.630 0.000 0.500
0.692 0.521 0.000
0.823 0.823 0.500
0.829 0.308 0.000
```

---

VASP calculation (meta-GGA SCAN) on RbLiHPd2 at its PBEsol-relaxed geometry.

```
RbLiHPd2
1.0
5.190 0.000 0.000
0.000 5.190 0.000
0.000 0.000 4.560
Rb Li H Pd
1 1 1 2
Direct
0.000 0.000 0.000
0.500 0.500 0.500
0.000 0.000 0.500
0.000 0.500 0.000
0.500 0.000 0.000
```

---

VASP calculation (meta-GGA SCAN) on Ca2IrAu at its PBEsol-relaxed geometry.

Energy of formation from the pure elements, eV/atom: -0.279

```
Ca2IrAu
1.0
3.184 0.000 0.000
0.000 4.615 0.000
0.000 0.000 5.815
Ca Ir Au
2 1 1
Direct
0.000 0.000 0.000
0.500 0.500 0.374
0.000 0.000 0.507
0.500 0.500 0.853
```

---

VASP calculation (meta-GGA SCAN) on ScTaFeSi2 at its PBEsol-relaxed geometry.

Formation energy (no corrections), meV/atom: 650

```
ScTaFeSi2
1.0
4.745 0.000 0.000
0.000 4.745 0.000
0.000 0.000 4.453
Sc Ta Fe Si
1 1 1 2
Direct
0.000 0.000 0.000
0.500 0.500 0.500
0.500 0.500 0.000
0.000 0.500 0.500
0.500 0.000 0.500
```

---

| no. | energy (eV/atom) |
| --- | --- |
| 1 | -24.3516 |
| 2 | -14.9837 |
| 3 | -16.7923 |
| 4 | -15.8563 |
| 5 | -17.5755 |
| 6 | -9.1767 |
| 7 | -20.4663 |
| 8 | -48.7758 |
| 9 | -18.0682 |
| 10 | -17.2216 |
| 11 | -40.1744 |
| 12 | -23.1459 |